The following is a DFT calculation (PBE-GGA) of crystalline LiTi2CdTc at its relaxed geometry.

The space group is P4/mmm (No. 123) and the conventional cell measures 4.959, 4.959 and 4.040 Å, with angles of 90.00, 90.00 and 90.00 degrees. The distinct sites, in fractional coordinates, are Li at (0.000, 0.000, 0.000), Ti at (0.000, 0.500, 0.500), Cd at (0.000, 0.000, 0.500) and Tc at (0.500, 0.500, 0.000).

For the formation energy, the calculation gives 1.34 eV/atom.

---

The following is a DFT calculation (PBE-GGA) of crystalline Li2ZrCdTc at its relaxed geometry.

The space group is P4/mmm (No. 123) and the conventional cell measures 5.139, 5.139 and 4.620 Å, with angles of 90.00, 90.00 and 90.00 degrees. The distinct sites, in fractional coordinates, are Li at (0.000, 0.500, 0.000), Zr at (0.000, 0.000, 0.000), Cd at (0.500, 0.500, 0.500) and Tc at (0.000, 0.000, 0.500).

For the formation energy, the calculation gives 1.07 eV/atom.

---

The following is a DFT calculation (PBE-GGA) of crystalline LiCdTe2 at its relaxed geometry.

The space group is P4/mmm (No. 123) and the conventional cell measures 3.527, 3.527 and 8.204 Å, with angles of 90.00, 90.00 and 90.00 degrees. The distinct sites, in fractional coordinates, are Li at (0.000, 0.000, 0.000), Cd at (0.000, 0.000, 0.500) and Te at (0.500, 0.500, 0.240).

The value obtained for the raw formation energy is -0.797 eV per formula unit.

---

The following is a DFT calculation (PBE-GGA) of crystalline Li4CdTe at its relaxed geometry.

The space group is F-43m (No. 216) and the conventional cell measures 7.877, 7.877 and 7.877 Å, with angles of 90.00, 90.00 and 90.00 degrees. The distinct sites, in fractional coordinates, are Li at (0.124, 0.124, 0.376), Cd at (0.250, 0.250, 0.750) and Te at (0.000, 0.000, 0.000).

The value obtained for the raw formation energy is -1.207 eV per formula unit.

---

These records have Fermi-level density of states values of 1.11, 0.63, 0.56, 0.31 states/eV/atom, in the order they appear.